Computed, not measured: a relaxed VOF crystal at the GGA+U level of DFT.

Properties
**Electronic total energy**: -6.967 eV/atom
**Crystal system**: orthorhombic

Unit cell a=4.932 b=6.879 c=6.879 alpha=64.31 beta=68.99 gamma=68.99
Site moments in Bohr magnetons follow the coordinates.
Fractional positions:
F: 0.480 0.891 0.391  0.00
F: 0.763 0.109 0.609  0.00
F: 0.636 0.559 0.059  0.01
F: 0.255 0.441 0.941  0.01
F: 0.843 0.311 0.811  0.00
F: 0.966 0.689 0.189  0.00
O: 0.486 0.500 0.500  -0.07
O: 0.486 0.000 0.000  -0.07
O: 0.254 0.891 0.777  -0.07
O: 0.922 0.109 0.223  -0.07
O: 0.922 0.723 0.609  -0.07
O: 0.254 0.277 0.391  -0.07
V: 0.198 0.806 0.306  2.02
V: 0.310 0.194 0.694  2.02
V: 0.552 0.638 0.683  1.94
V: 0.873 0.362 0.317  1.94
V: 0.873 0.817 0.862  1.94
V: 0.552 0.183 0.138  1.94